An optimized crystal structure of La2TcRh. Source: Alexandria, functional PBE.

Computed properties:
The calculation puts the energy relative to the lowest polymorph listed for this composition at 0.00 kcal/mol of atoms. As for the space group: Pm, No. 6.

abc: 4.407 4.576 5.453
angles: 68.08 90.00 90.00
Sites, in units of the cell vectors:
Tc1 0.500 0.519 0.728
Rh1 0.000 0.725 0.508
La1 0.000 0.968 0.925
La2 0.500 0.288 0.339

An optimized crystal structure of LaTc2TeRh. Source: Alexandria, functional PBE.

Computed properties:
As for the space group: P4/mmm, No. 123. The uncorrected formation energy comes out at 38.8 kcal/mol of atoms.

abc: 4.965 4.885 4.965
angles: 90.00 90.00 90.00
Each line ends with the local moment (μB).
Sites, in units of the cell vectors:
La1 0.000 0.000 0.000  -0.03
Rh1 0.000 0.500 0.000  0.27
Tc1 0.000 0.000 0.500  1.64
Tc2 0.500 0.000 0.000  1.70
Te1 0.500 0.500 0.500  -0.02

An optimized crystal structure of LaY2TcRh. Source: Alexandria, functional PBE.

Computed properties:
As for the space group: P4/mmm, No. 123. The calculation puts the total energy at -6.76 eV per atom.

abc: 5.295 5.384 5.295
angles: 90.00 90.00 90.00
Each line ends with the local moment (μB).
Sites, in units of the cell vectors:
Tc1 0.500 0.500 0.500  2.23
Y1 0.500 0.000 0.000  -0.15
Y2 0.000 0.000 0.500  -0.09
La1 0.000 0.500 0.000  -0.11
Rh1 0.000 0.000 0.000  0.01

An optimized crystal structure of La3TeRh. Source: Alexandria, functional PBE.

Computed properties:
The calculation puts the energy relative to the lowest polymorph listed for this composition at 4.75 kcal/mol of atoms. As for the space group: Pm-3m, No. 221. The uncorrected formation energy comes out at -15.4 kcal/mol of atoms.

abc: 5.541 5.541 5.541
angles: 90.00 90.00 90.00
Sites, in units of the cell vectors:
Te1 0.500 0.500 0.500
Rh1 0.000 0.000 0.000
La1 0.000 0.500 0.000
La2 0.500 0.000 0.000
La3 0.000 0.000 0.500

An optimized crystal structure of LaTe2Rh. Source: Alexandria, functional PBE.

Computed properties:
The calculation puts the energy relative to the lowest polymorph listed for this composition at 6.15 kcal/mol of atoms. As for the space group: P4mm, No. 99. The uncorrected formation energy comes out at -16.5 kcal/mol of atoms.

abc: 4.044 4.044 6.557
angles: 90.00 90.00 90.00
Sites, in units of the cell vectors:
Te1 0.500 0.500 0.266
Te2 0.000 0.000 0.926
La1 0.000 0.000 0.463
Rh1 0.500 0.500 0.845

An optimized crystal structure of LaTeRh. Source: Alexandria, functional PBE.

Computed properties:
As for the space group: I4mm, No. 107. The uncorrected formation energy comes out at -16.8 kcal/mol of atoms.

abc: 5.622 5.622 5.622
angles: 137.55 137.55 61.59
Sites, in units of the cell vectors:
Rh1 0.625 0.625 0.000
La1 0.024 0.024 0.000
Te1 0.351 0.351 0.000

An optimized crystal structure of LaTe2Rh. Source: Alexandria, functional PBE.

Computed properties:
The calculation puts the energy relative to the lowest polymorph listed for this composition at 20.79 kcal/mol of atoms. As for the space group: R-3m, No. 166. The uncorrected formation energy comes out at -1.8 kcal/mol of atoms.

abc: 10.290 10.290 10.290
angles: 20.09 20.09 20.09
Each line ends with the local moment (μB).
Sites, in units of the cell vectors:
Te1 0.917 0.917 0.917  0.00
Te2 0.083 0.083 0.083  0.00
Rh1 0.000 0.000 0.000  0.24
La1 0.500 0.500 0.500  0.01

An optimized crystal structure of LaTe2Rh. Source: Alexandria, functional PBE.

Computed properties:
The calculation puts the energy relative to the lowest polymorph listed for this composition at 3.37 kcal/mol of atoms. As for the space group: Immm, No. 71. The uncorrected formation energy comes out at -19.2 kcal/mol of atoms.

abc: 5.774 5.774 5.774
angles: 138.19 120.95 74.94
Sites, in units of the cell vectors:
Te1 0.316 0.316 0.000
Te2 0.684 0.684 0.000
La1 0.000 0.500 0.500
Rh1 0.500 0.000 0.500

An optimized crystal structure of LaTe2Rh. Source: Alexandria, functional PBE.

Computed properties:
The calculation puts the energy relative to the lowest polymorph listed for this composition at 3.19 kcal/mol of atoms. As for the space group: Pm, No. 6. The uncorrected formation energy comes out at -19.4 kcal/mol of atoms.

abc: 4.711 4.584 5.662
angles: 71.89 90.00 90.00
Sites, in units of the cell vectors:
Te1 0.500 0.478 0.306
Te2 0.000 0.203 0.889
Rh1 0.500 0.440 0.830
La1 0.000 0.879 0.474

An optimized crystal structure of LaTeRh2. Source: Alexandria, functional PBE.

Computed properties:
The calculation puts the energy relative to the lowest polymorph listed for this composition at 7.62 kcal/mol of atoms. As for the space group: P4/mmm, No. 123. The uncorrected formation energy comes out at -8.5 kcal/mol of atoms.

abc: 3.634 3.634 6.355
angles: 90.00 90.00 90.00
Sites, in units of the cell vectors:
Te1 0.500 0.500 0.000
Rh1 0.000 0.000 0.771
Rh2 0.000 0.000 0.229
La1 0.500 0.500 0.500

An optimized crystal structure of LaTeRh2. Source: Alexandria, functional PBE.

Computed properties:
The calculation puts the energy relative to the lowest polymorph listed for this composition at 0.00 kcal/mol of atoms. As for the space group: R-3m, No. 166. The uncorrected formation energy comes out at -16.2 kcal/mol of atoms.

abc: 5.582 5.582 5.582
angles: 47.72 47.72 47.72
Sites, in units of the cell vectors:
Te1 0.000 0.000 0.000
Rh1 0.291 0.291 0.291
Rh2 0.709 0.709 0.709
La1 0.500 0.500 0.500

An optimized crystal structure of LaTeRh2. Source: Alexandria, functional PBE.

Computed properties:
The calculation puts the energy relative to the lowest polymorph listed for this composition at 3.99 kcal/mol of atoms. As for the space group: Immm, No. 71. The uncorrected formation energy comes out at -12.2 kcal/mol of atoms.

abc: 5.112 5.112 5.112
angles: 130.87 122.64 78.83
Sites, in units of the cell vectors:
Rh1 0.766 0.766 0.000
Rh2 0.234 0.234 0.000
La1 0.500 0.000 0.500
Te1 0.000 0.500 0.500

Looking at size of the total moment for the records above, in order, we have 0.0 3.9 1.8 0.0 0.0 0.0 0.3 0.0 0.0 0.0 0.0 0.0 μB per cell.